Material: VPd2I2
Method: DFT, PBE
State: optimized geometry

Properties
Uncorrected energy   -4.154 eV per atom
E_form (uncorrected)   0.367 eV/atom

a b c (Å): 7.5213 7.5213 3.9523
angles (deg): 90.00 90.00 90.00
Fractional positions:
V1 0.0000 0.0000 0.0000
V2 0.5000 0.5000 0.0000
Pd1 0.1364 0.3636 0.5000
Pd2 0.3636 0.8636 0.5000
Pd3 0.6364 0.1364 0.5000
Pd4 0.8636 0.6364 0.5000
I1 0.1750 0.6750 0.0000
I2 0.3250 0.1750 0.0000
I3 0.6750 0.8250 0.0000
I4 0.8250 0.3250 0.0000

***

Material: VPd3I
Method: DFT, PBE
State: optimized geometry

Properties
Uncorrected energy   -4.352 eV per atom
E_form (uncorrected)   0.898 eV/atom

a b c (Å): 4.9400 4.9400 4.9400
angles (deg): 90.00 90.00 90.00
Fractional positions:
V1 0.0000 0.0000 0.0000
Pd1 0.0000 0.5000 0.5000
Pd2 0.5000 0.0000 0.5000
Pd3 0.5000 0.5000 0.0000
I1 0.5000 0.5000 0.5000

***

Material: VPd2I2
Method: DFT, PBE
State: optimized geometry

Properties
Uncorrected energy   -4.156 eV per atom
E_form (uncorrected)   0.365 eV/atom

a b c (Å): 8.3128 8.3128 8.3128
angles (deg): 153.62 153.62 37.65
Fractional positions:
V1 0.0000 0.0000 0.0000
Pd1 0.2500 0.7500 0.5000
Pd2 0.7500 0.2500 0.5000
I1 0.3909 0.3909 0.0000
I2 0.6091 0.6091 0.0000

***

Material: V2PdI
Method: DFT, PBE
State: optimized geometry

Properties
Uncorrected energy   -5.406 eV per atom
E_form (uncorrected)   0.839 eV/atom

a b c (Å): 7.8784 7.8784 7.8784
angles (deg): 138.16 138.16 60.65
Fractional positions:
V1 0.0781 0.6250 0.9531
V2 0.3750 0.3281 0.4531
V3 0.6719 0.1250 0.0469
V4 0.8750 0.9219 0.5469
Pd1 0.0000 0.0000 0.0000
Pd2 0.7500 0.2500 0.5000
I1 0.2500 0.7500 0.5000
I2 0.5000 0.5000 0.0000

***

Material: VPdI3
Method: DFT, PBE
State: optimized geometry

Properties
Uncorrected energy   -3.441 eV per atom
E_form (uncorrected)   0.351 eV/atom

a b c (Å): 5.5025 5.5025 5.5025
angles (deg): 90.00 90.00 90.00
Fractional positions:
V1 0.0000 0.0000 0.0000
Pd1 0.5000 0.5000 0.5000
I1 0.0000 0.0000 0.5000
I2 0.0000 0.5000 0.0000
I3 0.5000 0.0000 0.0000

***

Material: V3PdI
Method: DFT, PBE
State: optimized geometry

Properties
Uncorrected energy   -5.668 eV per atom
E_form (uncorrected)   1.152 eV/atom

a b c (Å): 4.8544 4.8544 4.8544
angles (deg): 90.00 90.00 90.00
Fractional positions:
V1 0.0000 0.0000 0.5000
V2 0.0000 0.5000 0.0000
V3 0.5000 0.0000 0.0000
Pd1 0.0000 0.0000 0.0000
I1 0.5000 0.5000 0.5000

***

Material: VPd2I
Method: DFT, PBE
State: optimized geometry

Properties
Uncorrected energy   -4.878 eV per atom
E_form (uncorrected)   0.385 eV/atom

a b c (Å): 4.7119 4.7119 4.7119
angles (deg): 60.00 60.00 60.00
Fractional positions:
V1 0.0000 0.0000 0.0000
Pd1 0.2500 0.2500 0.2500
Pd2 0.7500 0.7500 0.7500
I1 0.5000 0.5000 0.5000

***

Material: VPdI3
Method: DFT, PBE
State: optimized geometry

Properties
Uncorrected energy   -3.320 eV per atom
E_form (uncorrected)   0.472 eV/atom

a b c (Å): 5.4903 5.4903 5.4903
angles (deg): 90.00 90.00 90.00
Fractional positions:
V1 0.0000 0.0000 0.0000
Pd1 0.5000 0.5000 0.5000
I1 0.0000 0.5000 0.5000
I2 0.5000 0.0000 0.5000
I3 0.5000 0.5000 0.0000

***

Q: The lowest E_form (uncorrected) belongs to which entry?
A: number 5

***

Q: Look up the E_form (uncorrected) of the third one.
A: 0.365 eV/atom

***

Q: Which of these has the lowest uncorrected energy?
A: V3PdI

***

Q: Which value of uncorrected energy does entry 3 give?
A: -4.156 eV per atom